Model w:
An optimized crystal structure of NdCoOs. Source: Alexandria via LeMat-Bulk, functional PBE-GGA.

Values from the calculation:
Crystal system = orthorhombic
Density = 12.24 g cm⁻³
Magnetic moment = 4.34 μB per cell

Lattice parameters (Å, degrees): 5.1202 5.4912 7.5926 90.00 90.00 90.00
Last column: nearest neighbours and their distance in Å.
Space group Imma (No. 74)
Inequivalent atoms, fractional coordinates:
Nd  0.0000  0.2500  0.1217  6 Co 3.05-3.18, 6 Os 3.10-3.18, 4 Nd 3.22-3.31
Co  0.0000  0.0000  0.5000  4 Os 2.67, 2 Co 2.75
Os  0.2500  0.2500  0.7500  2 Os 2.56, 4 Co 2.67

=====

Model x:
An optimized crystal structure of NdCoOs. Source: Alexandria via LeMat-Bulk, functional PBE-GGA.

Values from the calculation:
Crystal system = orthorhombic
Density = 11.26 g cm⁻³
Magnetic moment = 5.87 μB per cell

Lattice parameters (Å, degrees): 5.3502 7.9727 5.4418 90.00 90.00 90.00
Last column: nearest neighbours and their distance in Å.
Space group Cmcm (No. 63)
Inequivalent atoms, fractional coordinates:
Nd  0.0000  0.1503  0.2500  5 Co 2.81-3.14, 2 Os 3.10
Co  0.0000  0.2431  0.7500  2 Os 2.46
Os  0.0000  0.5000  0.0000  2 Co 2.46, 2 Os 2.72

=====

Which one is most stable, and which one is least stable? model w is the most stable of them, while model x is the least stable.

=====

Model w:
An optimized crystal structure of Nd8CoPd2. Source: Alexandria via LeMat-Bulk, functional PBE-GGA.

Values from the calculation:
Crystal system = monoclinic
Density = 7.10 g cm⁻³
Magnetic moment = 0.00 μB per cell

Lattice parameters (Å, degrees): 9.0010 12.5653 6.4455 90.00 113.85 90.00
Last column: nearest neighbours and their distance in Å.
Space group Cm (No. 8)
Inequivalent atoms, fractional coordinates:
Nd  0.0000  0.0000  0.0000  2 Pd 2.98
Nd  0.0886  0.3634  0.8601  1 Co 2.85, 2 Pd 2.93-3.06
Nd  0.1418  0.1340  0.5798  2 Pd 2.87-3.02, 1 Co 2.97
Nd  0.2307  0.5000  0.4019  2 Pd 2.95
Nd  0.3660  0.1568  0.2207  1 Co 2.63
Co  0.3691  0.0000  0.9516  4 Nd 2.63-2.85
Pd  0.3583  0.3134  0.6996  6 Nd 2.87-3.06

=====

Model x:
An optimized crystal structure of Nd8CoPd2. Source: Alexandria via LeMat-Bulk, functional PBE-GGA.

Values from the calculation:
Crystal system = monoclinic
Density = 7.59 g cm⁻³
Magnetic moment = 0.00 μB per cell

Lattice parameters (Å, degrees): 17.6755 5.1345 6.9732 90.00 99.77 90.00
Last column: nearest neighbours and their distance in Å.
Space group C2/m (No. 12)
Inequivalent atoms, fractional coordinates:
Nd  0.0292  0.0000  0.2839  1 Pd 3.05, 2 Co 3.06, 1 Nd 3.35
Nd  0.0877  0.5000  0.9420  1 Co 3.21, 5 Nd 3.34-3.50
Nd  0.1591  0.5000  0.4709  1 Co 2.85, 3 Pd 2.94-3.16
Nd  0.2032  0.0000  0.8311  3 Pd 2.89-3.19
Co  0.0000  0.5000  0.5000  6 Nd 2.85-3.06
Pd  0.1982  0.0000  0.2426  7 Nd 2.89-3.19

=====

Which one is most stable, and which one is least stable? model x is the most stable of them, while model w is the least stable.